1.
Below is K3TiSi after structural relaxation, with properties calculated at the PBE level.

Cell lengths 6.384, 6.384, 6.384 Å; angles 90.00, 90.00, 90.00 degrees
Element x y z (fractional)
K (0.000, 0.000, 0.500)
K (0.000, 0.500, 0.000)
K (0.500, 0.000, 0.000)
Ti (0.000, 0.000, 0.000)
Si (0.500, 0.500, 0.500)

Results
Formation energy from raw total energies (eV per atom): 1.44

***

2.
Below is KTiSi2 after structural relaxation, with properties calculated at the PBE level.

Cell lengths 6.786, 6.786, 6.786 Å; angles 90.00, 90.00, 90.00 degrees
Element x y z (fractional)
K (0.000, 0.000, 0.000)
K (0.000, 0.500, 0.500)
K (0.500, 0.000, 0.500)
K (0.500, 0.500, 0.000)
Ti (0.000, 0.000, 0.500)
Ti (0.000, 0.500, 0.000)
Ti (0.500, 0.000, 0.000)
Ti (0.500, 0.500, 0.500)
Si (0.250, 0.250, 0.250)
Si (0.250, 0.250, 0.750)
Si (0.250, 0.750, 0.250)
Si (0.250, 0.750, 0.750)
Si (0.750, 0.250, 0.250)
Si (0.750, 0.250, 0.750)
Si (0.750, 0.750, 0.250)
Si (0.750, 0.750, 0.750)

Results
Energy above the most stable polymorph in this dataset (eV per formula unit): 0.977
Formation energy from raw total energies (eV per atom): 0.60

***

3.
Below is KTiSi2 after structural relaxation, with properties calculated at the PBE level.

Cell lengths 5.357, 5.357, 16.747 Å; angles 90.00, 90.00, 90.00 degrees
Element x y z (fractional)
K (0.000, 0.000, 0.000)
K (0.000, 0.500, 0.250)
K (0.500, 0.000, 0.750)
K (0.500, 0.500, 0.500)
Ti (0.000, 0.000, 0.500)
Ti (0.000, 0.500, 0.750)
Ti (0.500, 0.000, 0.250)
Ti (0.500, 0.500, 0.000)
Si (0.002, 0.250, 0.625)
Si (0.250, 0.502, 0.875)
Si (0.250, 0.998, 0.375)
Si (0.498, 0.250, 0.125)
Si (0.502, 0.750, 0.125)
Si (0.750, 0.002, 0.375)
Si (0.750, 0.498, 0.875)
Si (0.998, 0.750, 0.625)

Results
Energy above the most stable polymorph in this dataset (eV per formula unit): 0.000
Formation energy from raw total energies (eV per atom): 0.35

***

4.
Below is KTiZn2Si after structural relaxation, with properties calculated at the PBE level.

Cell lengths 5.007, 5.007, 5.330 Å; angles 90.00, 90.00, 90.00 degrees
Element x y z (fractional)
K (0.000, 0.000, 0.000)
Ti (0.500, 0.500, 0.500)
Zn (0.000, 0.500, 0.000)
Zn (0.500, 0.000, 0.000)
Si (0.000, 0.000, 0.500)

Results
Formation energy from raw total energies (eV per atom): 1.71